Run P
Pu2HgSb4: optimized geometry, PBE-GGA.

POSCAR file:
```
Pu2HgSb4
1.0
8.9013 0.0000 0.0000
0.0000 9.3778 0.0000
-4.4406 0.0000 4.6848
Pu Hg Sb
4 2 8
Direct
0.2500 0.2500 0.0000
0.2500 0.7500 0.0000
0.7500 0.2500 0.0000
0.7500 0.7500 0.0000
0.0000 0.0000 0.5000
0.5000 0.5000 0.5000
0.0000 0.0000 0.0000
0.0000 0.5000 0.0000
0.2500 0.2500 0.5000
0.2500 0.7500 0.5000
0.5000 0.0000 0.0000
0.5000 0.5000 0.0000
0.7500 0.2500 0.5000
0.7500 0.7500 0.5000
```

=====

Run Q
Pu2HgSb4: optimized geometry, PBE-GGA.

POSCAR file:
```
Pu2HgSb4
1.0
4.3834 0.0000 0.0000
0.0000 4.3834 0.0000
0.0000 0.0000 10.0971
Pu Hg Sb
2 1 4
Direct
0.0000 0.5000 0.2415
0.5000 0.0000 0.7585
0.0000 0.0000 0.5000
0.0000 0.0000 0.0000
0.0000 0.5000 0.6918
0.5000 0.0000 0.3082
0.5000 0.5000 0.0000
```

=====

Least stable: run P

=====

Run P
PuScTlHg: optimized geometry, PBE-GGA.

POSCAR file:
```
PuScTlHg
1.0
3.5399 0.0000 0.0000
0.0000 3.5399 0.0000
0.0000 0.0000 7.8939
Pu Sc Tl Hg
1 1 1 1
Direct
0.0000 0.0000 0.0000
0.0000 0.0000 0.5160
0.5000 0.5000 0.2797
0.5000 0.5000 0.7269
```

=====

Run Q
PuScTlHg: optimized geometry, PBE-GGA.

POSCAR file:
```
PuScTlHg
1.0
7.3882 0.0000 0.0000
0.0000 7.3882 0.0000
0.0000 0.0000 7.3882
Pu Sc Tl Hg
4 4 4 4
Direct
0.0000 0.0000 0.0000
0.0000 0.5000 0.5000
0.5000 0.0000 0.5000
0.5000 0.5000 0.0000
0.0000 0.0000 0.5000
0.0000 0.5000 0.0000
0.5000 0.0000 0.0000
0.5000 0.5000 0.5000
0.2500 0.2500 0.7500
0.2500 0.7500 0.2500
0.7500 0.2500 0.2500
0.7500 0.7500 0.7500
0.2500 0.2500 0.2500
0.2500 0.7500 0.7500
0.7500 0.2500 0.7500
0.7500 0.7500 0.2500
```

=====

Least stable: run Q

=====

Run P
PuSiHg: optimized geometry, PBE-GGA.

POSCAR file:
```
PuSiHg
1.0
6.6229 0.0000 0.0000
0.0000 6.6229 0.0000
0.0000 0.0000 6.6229
Pu Si Hg
4 4 4
Direct
0.0000 0.0000 0.0000
0.0000 0.5000 0.5000
0.5000 0.0000 0.5000
0.5000 0.5000 0.0000
0.2500 0.2500 0.7500
0.2500 0.7500 0.2500
0.7500 0.2500 0.2500
0.7500 0.7500 0.7500
0.0000 0.0000 0.5000
0.0000 0.5000 0.0000
0.5000 0.0000 0.0000
0.5000 0.5000 0.5000
```

=====

Run Q
PuSiHg: optimized geometry, PBE-GGA.

POSCAR file:
```
PuSiHg
1.0
3.2656 0.0000 0.0000
0.0000 3.2656 0.0000
0.0000 0.0000 12.3554
Pu Si Hg
2 2 2
Direct
0.0000 0.0000 0.0000
0.5000 0.5000 0.5000
0.0000 0.0000 0.3486
0.5000 0.5000 0.8486
0.0000 0.0000 0.6932
0.5000 0.5000 0.1932
```

=====

Least stable: run Q

=====

Run P
PuSiHg: optimized geometry, PBE-GGA.

POSCAR file:
```
PuSiHg
1.0
4.2017 0.0000 0.0000
0.0000 16.6115 0.0000
0.0000 0.0000 3.8468
Pu Si Hg
4 4 4
Direct
0.0000 0.0952 0.2500
0.0000 0.9048 0.7500
0.5000 0.4048 0.7500
0.5000 0.5952 0.2500
0.0000 0.4581 0.2500
0.0000 0.5419 0.7500
0.5000 0.0419 0.7500
0.5000 0.9581 0.2500
0.0000 0.2896 0.2500
0.0000 0.7104 0.7500
0.5000 0.2104 0.7500
0.5000 0.7896 0.2500
```

=====

Run Q
PuSiHg: optimized geometry, PBE-GGA.

POSCAR file:
```
PuSiHg
1.0
4.7146 0.0000 0.0000
-2.3573 4.0830 0.0000
0.0000 0.0000 3.3869
Pu Si Hg
1 1 1
Direct
0.0000 0.0000 0.0000
0.3333 0.6667 0.5000
0.6667 0.3333 0.5000
```

=====

Least stable: run Q